Entry 1:
LiSmPt2 | GGA-PBE | relaxed

Lattice parameters (Å, degrees): 4.348 7.988 8.704 90.00 90.00 90.00
Atoms (fractional coordinates):
Li1 0.250 0.427 0.043
Li2 0.250 0.927 0.457
Li3 0.750 0.573 0.957
Li4 0.750 0.073 0.543
Sm1 0.750 0.903 0.165
Sm2 0.250 0.097 0.835
Sm3 0.750 0.403 0.335
Sm4 0.250 0.597 0.665
Pt1 0.750 0.847 0.776
Pt2 0.250 0.153 0.224
Pt3 0.750 0.347 0.724
Pt4 0.250 0.653 0.276
Pt5 0.750 0.744 0.478
Pt6 0.250 0.756 0.978
Pt7 0.750 0.244 0.022
Pt8 0.250 0.256 0.522

## Properties
The calculation puts the total magnetic moment at 0.00 μB/cell. As for the crystal system: orthorhombic. The value obtained for the total energy is -89.230 eV per cell. For the density of states at the Fermi level, the calculation gives 0.325 states/eV/atom. Its volume is 302 Å³/cell.



Entry 2:
Li2Sm3Pt5 | GGA-PBE | relaxed

Lattice parameters (Å, degrees): 3.810 9.867 9.867 90.00 90.00 90.00
Atoms (fractional coordinates):
Li1 0.000 0.118 0.618
Li2 0.000 0.882 0.382
Li3 0.000 0.382 0.118
Li4 0.000 0.618 0.882
Sm1 0.000 0.324 0.824
Sm2 0.000 0.676 0.176
Sm3 0.000 0.176 0.324
Sm4 0.000 0.824 0.676
Sm5 0.000 0.000 0.000
Sm6 0.000 0.500 0.500
Pt1 0.500 0.219 0.070
Pt2 0.500 0.781 0.930
Pt3 0.500 0.930 0.219
Pt4 0.500 0.070 0.781
Pt5 0.500 0.281 0.570
Pt6 0.500 0.719 0.430
Pt7 0.500 0.570 0.719
Pt8 0.500 0.430 0.281
Pt9 0.500 0.000 0.500
Pt10 0.500 0.500 0.000

## Properties
The calculation puts the total magnetic moment at 0.00 μB/cell. As for the crystal system: tetragonal. The value obtained for the total energy is -115.398 eV per cell. For the density of states at the Fermi level, the calculation gives 0.369 states/eV/atom. Its volume is 371 Å³/cell.



Entry 3:
LiSm2Sn3Pt4 | GGA-PBE | relaxed

Lattice parameters (Å, degrees): 4.274 4.274 11.729 90.00 90.00 90.00
Atoms (fractional coordinates):
Li1 0.500 0.500 0.500
Sm1 0.500 0.000 0.259
Sm2 0.000 0.500 0.741
Sn1 0.000 0.000 0.500
Sn2 0.500 0.000 0.864
Sn3 0.000 0.500 0.136
Pt1 0.500 0.500 0.000
Pt2 0.000 0.000 0.000
Pt3 0.500 0.000 0.642
Pt4 0.000 0.500 0.358

## Properties
The calculation puts the total magnetic moment at 0.00 μB/cell. As for the crystal system: tetragonal. The value obtained for the total energy is -55.588 eV per cell. For the density of states at the Fermi level, the calculation gives 0.556 states/eV/atom. Its volume is 214 Å³/cell.